Material: Sn2Sb2Au
Method: DFT, PBEsol
State: relaxed

a b c (Å): 4.0993 4.0993 16.1047
angles (deg): 90.00 90.00 90.00
Space group I4/mmm (No. 139)
Inequivalent atoms, fractional coordinates:
Sn: 0.0000 0.0000 0.0897 x4
Sb: 0.0000 0.5000 0.2500 x4
Au: 0.0000 0.0000 0.5000 x2

Summary:
Formation energy without anion corrections   122 kJ/mol of formula units
Raw total energy   -40.6 eV per cell